The following is a DFT calculation (PBE with a Hubbard U) of a geometry-optimized DyPaCr2O8 structure.

Geometry as extended XYZ:
```
12
Lattice="-1.554 -4.789 3.239 4.361 -1.009 -3.975 2.037 4.125 3.831" Properties=species:S:1:pos:R:3 pbc="T T T"
Dy 3.900 0.108 -0.256
Pa 0.000 0.000 0.000
Cr 0.943 -1.782 3.351
Cr 1.403 -2.899 -0.368
O 0.337 -0.592 2.152
O 2.015 -1.218 -0.252
O 1.745 1.783 3.631
O 0.519 -0.843 4.820
O 2.032 -4.138 0.764
O 0.251 -3.433 3.243
O 2.665 -2.258 3.188
O 3.895 0.226 2.046
```

Output
E_tot	-99.46	eV for the cell shown
symmetry	I-4m2 (119)